## Cs2TaVF6 (PBE with a Hubbard U)

Data for a relaxed structure of Cs2TaVF6.

a = 6.1772 Å, b = 6.1772 Å, c = 6.1783 Å
α = 60.01°, β = 60.01°, γ = 90.00°
Fractional positions:
Cs (0.7500, 0.2500, 0.5000)
Cs (0.2500, 0.7500, 0.5000)
F (0.2454, 0.2454, 0.5091)
F (0.7546, 0.7546, 0.4909)
F (0.2455, 0.2455, 0.0000)
F (0.7545, 0.7545, 0.0000)
F (0.7545, 0.2455, 0.0000)
F (0.2455, 0.7545, 0.0000)
V (0.5000, 0.5000, 0.0000)
Ta (0.0000, 0.0000, 0.0000)

Computed properties:
space group	No. 225
uncorrected energy	-5.1628	eV per atom
spin magnetization	0.001	μB/atom